The following is a PBE calculation of a geometry-optimized Ce3Ga2Ru structure, from Alexandria via LeMat-Bulk.

The structure in CIF format:
```
data_Ce3Ga2Ru
_symmetry_space_group_name_H-M 'P n m a'
_symmetry_Int_Tables_number 62
_symmetry_space_group_name_Hall '-P 2ac 2n'
_cell_length_a 12.521
_cell_length_b 4.663
_cell_length_c 9.115
_cell_angle_alpha 90.00
_cell_angle_beta 90.00
_cell_angle_gamma 90.00
loop_
_atom_site_label
_atom_site_type_symbol
_atom_site_fract_x
_atom_site_fract_y
_atom_site_fract_z
_atom_site_occupancy
Ce1 Ce 0.049 0.250 0.115 1
Ce2 Ce 0.154 0.750 0.606 1
Ce3 Ce 0.249 0.750 0.277 1
Ga1 Ga 0.002 0.750 0.346 1
Ga2 Ga 0.188 0.750 0.964 1
Ru1 Ru 0.110 0.250 0.376 1
```

Computed properties:
ΔH_f (0 K)	-0.49	eV per atom